VASP calculation (GGA-PBE) on KLaZr after structural relaxation.

a b c (Å): 9.588 9.589 3.428
angles (deg): 79.70 79.71 20.60
Element x y z (fractional)
La 0.307 0.307 0.693
K 0.009 0.009 0.991
Zr 0.684 0.684 0.316

Properties
Energy relative to the lowest polymorph listed for this composition = 0.000 eV per formula unit
Total magnetization = 0.00 μB/f.u.
Space group = I4mm

***

VASP calculation (GGA-PBE) on K2LaZr after structural relaxation.

a b c (Å): 3.570 5.866 7.183
angles (deg): 90.00 90.00 90.00
Last column: magnetic moment on the atom in μB.
Element x y z (fractional)
La 0.500 0.000 0.500  0.04
Zr 0.000 0.500 0.500  0.23
K 0.000 0.000 0.000  0.00
K 0.500 0.500 0.000  0.01

Properties
Energy relative to the lowest polymorph listed for this composition = 1.169 eV per formula unit
Total magnetization = 0.61 μB/f.u.
Space group = Pmmm

***

VASP calculation (GGA-PBE) on KLa4Zr2 after structural relaxation.

a b c (Å): 5.826 5.826 8.577
angles (deg): 70.14 70.14 90.00
Element x y z (fractional)
La 0.500 0.000 0.000
La 0.214 0.214 0.572
Zr 0.594 0.594 0.812
La 0.786 0.786 0.428
La 0.000 0.500 0.000
Zr 0.406 0.406 0.188
K 0.000 0.000 0.000

Properties
Total magnetization = 0.00 μB/f.u.
Space group = I4/mmm

***

VASP calculation (GGA-PBE) on KLa2Zr after structural relaxation.

a b c (Å): 5.822 5.822 5.822
angles (deg): 60.00 60.00 60.00
Last column: magnetic moment on the atom in μB.
Element x y z (fractional)
K 0.500 0.500 0.500  0.01
Zr 0.750 0.750 0.750  0.63
La 0.250 0.250 0.250  0.05
La 0.000 0.000 0.000  0.25

Properties
Energy relative to the lowest polymorph listed for this composition = 1.892 eV per formula unit
Total magnetization = 1.61 μB/f.u.
Space group = F-43m

***

VASP calculation (GGA-PBE) on K2LaZr after structural relaxation.

a b c (Å): 10.918 10.918 5.279
angles (deg): 75.91 75.91 18.32
Element x y z (fractional)
K 0.087 0.087 0.912
Zr 0.750 0.750 0.750
K 0.413 0.413 0.588
La 0.250 0.250 0.250

Properties
Energy relative to the lowest polymorph listed for this composition = 0.616 eV per formula unit
Total magnetization = 0.00 μB/f.u.
Space group = C2/m

***

VASP calculation (GGA-PBE) on KLa2Zr after structural relaxation.

a b c (Å): 3.651 6.330 5.967
angles (deg): 90.00 90.00 90.00
Last column: magnetic moment on the atom in μB.
Element x y z (fractional)
K 0.000 0.500 0.500  0.01
La 0.000 0.000 0.000  0.01
Zr 0.500 0.000 0.500  0.18
La 0.500 0.500 0.000  -0.02

Properties
Energy relative to the lowest polymorph listed for this composition = 1.693 eV per formula unit
Total magnetization = 0.30 μB/f.u.
Space group = Pmmm

***

VASP calculation (GGA-PBE) on K2LaZr after structural relaxation.

a b c (Å): 5.095 5.095 6.291
angles (deg): 90.00 90.00 90.00
Element x y z (fractional)
Zr 0.500 0.500 0.750
K 0.000 0.000 0.509
La 0.500 0.500 0.250
K 0.000 0.000 0.991

Properties
Energy relative to the lowest polymorph listed for this composition = 2.725 eV per formula unit
Total magnetization = 0.00 μB/f.u.
Space group = P4/mmm

***

VASP calculation (GGA-PBE) on KLa2Zr after structural relaxation.

a b c (Å): 3.450 3.450 13.162
angles (deg): 90.00 90.00 116.76
Element x y z (fractional)
Zr 0.000 0.000 0.472
K 0.500 0.500 0.733
La 0.500 0.500 0.270
La 0.000 0.000 0.025

Properties
Energy relative to the lowest polymorph listed for this composition = 0.668 eV per formula unit
Total magnetization = 0.00 μB/f.u.
Space group = Cmm2

***

VASP calculation (GGA-PBE) on KLa4Zr after structural relaxation.

a b c (Å): 6.797 6.797 6.797
angles (deg): 60.00 60.00 60.00
Last column: magnetic moment on the atom in μB.
Element x y z (fractional)
La 0.382 0.382 0.382  0.00
K 0.000 0.000 0.000  0.00
La 0.855 0.382 0.382  0.00
La 0.382 0.855 0.382  0.00
La 0.382 0.382 0.855  0.00
Zr 0.750 0.750 0.750  0.11

Properties
Total magnetization = 0.20 μB/f.u.
Space group = F-43m

***

VASP calculation (GGA-PBE) on K2LaZr after structural relaxation.

a b c (Å): 3.343 7.041 6.653
angles (deg): 90.00 90.00 90.00
Last column: magnetic moment on the atom in μB.
Element x y z (fractional)
La 0.500 0.500 0.250  0.00
Zr 0.500 0.500 0.750  0.57
K 0.000 0.000 0.990  0.01
K 0.000 0.000 0.510  0.01

Properties
Energy relative to the lowest polymorph listed for this composition = 1.649 eV per formula unit
Total magnetization = 1.11 μB/f.u.
Space group = Pmmm

***

VASP calculation (GGA-PBE) on KLa2Zr after structural relaxation.

a b c (Å): 8.807 8.807 7.453
angles (deg): 53.78 53.78 90.00
Element x y z (fractional)
K 0.250 0.750 0.500
La 0.875 0.980 0.750
La 0.730 0.125 0.250
La 0.375 0.270 0.750
Zr 0.000 0.000 0.000
K 0.500 0.500 0.000
La 0.020 0.625 0.250
Zr 0.750 0.250 0.500

Properties
Energy relative to the lowest polymorph listed for this composition = 2.328 eV per formula unit
Total magnetization = 0.00 μB/f.u.
Space group = I-42d

***

VASP calculation (GGA-PBE) on KLa2Zr after structural relaxation.

a b c (Å): 3.524 4.876 9.015
angles (deg): 90.00 90.00 90.00
Element x y z (fractional)
K 0.500 0.500 0.723
La 0.500 0.500 0.288
La 0.000 0.000 0.060
Zr 0.000 0.000 0.429

Properties
Energy relative to the lowest polymorph listed for this composition = 0.935 eV per formula unit
Total magnetization = 0.00 μB/f.u.
Space group = Pmm2

***

VASP calculation (GGA-PBE) on K2LaZr after structural relaxation.

a b c (Å): 7.789 7.789 3.358
angles (deg): 90.00 90.00 129.65
Last column: magnetic moment on the atom in μB.
Element x y z (fractional)
Zr 0.000 0.500 0.500  0.59
La 0.500 0.000 0.500  -0.01
K 0.500 0.500 0.000  0.01
K 0.000 0.000 0.000  0.01

Properties
Energy relative to the lowest polymorph listed for this composition = 1.668 eV per formula unit
Total magnetization = 1.10 μB/f.u.
Space group = Cmmm

***

VASP calculation (GGA-PBE) on K2LaZr after structural relaxation.

a b c (Å): 4.666 4.666 14.784
angles (deg): 80.92 80.92 90.00
Element x y z (fractional)
K 0.131 0.625 0.250
K 0.875 0.869 0.750
K 0.619 0.125 0.250
Zr 0.250 0.750 0.500
Zr 0.500 0.500 0.000
La 0.750 0.250 0.500
La 0.000 0.000 0.000
K 0.375 0.381 0.750

Properties
Energy relative to the lowest polymorph listed for this composition = 1.784 eV per formula unit
Total magnetization = 0.00 μB/f.u.
Space group = I-42d

***

Number 1: density of states at the Fermi level 3.13 states/eV/f.u., raw total energy -13.26 eV per formula unit, DFT formation energy 437 meV per atom. Number 2: density of states at the Fermi level 5.58 states/eV/f.u., raw total energy -12.91 eV per formula unit, DFT formation energy 691 meV per atom. Number 3: density of states at the Fermi level 12.42 states/eV/f.u., raw total energy -31.62 eV per formula unit, DFT formation energy 898 meV per atom. Number 4: density of states at the Fermi level 6.79 states/eV/f.u., raw total energy -16.56 eV per formula unit, DFT formation energy 735 meV per atom. Number 5: density of states at the Fermi level 3.81 states/eV/f.u., raw total energy -13.46 eV per formula unit, DFT formation energy 553 meV per atom. Number 6: density of states at the Fermi level 5.93 states/eV/f.u., raw total energy -16.76 eV per formula unit, DFT formation energy 685 meV per atom. Number 7: density of states at the Fermi level 4.51 states/eV/f.u., raw total energy -11.35 eV per formula unit, DFT formation energy 1080 meV per atom. Number 8: density of states at the Fermi level 6.19 states/eV/f.u., raw total energy -17.78 eV per formula unit, DFT formation energy 429 meV per atom. Number 9: density of states at the Fermi level 8.97 states/eV/f.u., raw total energy -25.73 eV per formula unit, DFT formation energy 604 meV per atom. Number 10: density of states at the Fermi level 6.51 states/eV/f.u., raw total energy -12.43 eV per formula unit, DFT formation energy 811 meV per atom. Number 11: density of states at the Fermi level 6.08 states/eV/f.u., raw total energy -16.12 eV per formula unit, DFT formation energy 844 meV per atom. Number 12: density of states at the Fermi level 6.20 states/eV/f.u., raw total energy -17.52 eV per formula unit, DFT formation energy 496 meV per atom. Number 13: density of states at the Fermi level 6.28 states/eV/f.u., raw total energy -12.41 eV per formula unit, DFT formation energy 816 meV per atom. Number 14: density of states at the Fermi level 5.21 states/eV/f.u., raw total energy -12.29 eV per formula unit, DFT formation energy 845 meV per atom.